Material: NaNbCr2O8
Method: DFT, PBE with a Hubbard U
State: relaxed

Lattice parameters (Å, degrees): 5.7974 5.7974 6.2741 90.00 90.00 120.00
Space group P-3m1 (No. 164)
Symmetry-distinct sites (fractional):
Na 0.0000 0.0000 0.0000
Nb 0.0000 0.0000 0.5000
Cr 0.3333 0.6667 0.3787
O 0.1615 0.3230 0.3049
O 0.3333 0.6667 0.6351

The total energy comes out at -7.0899 eV/atom. As for the crystal system: trigonal. The density of states at the Fermi level comes out at 4.27 states/eV/cell.